1.
The following is a GGA-PBE calculation of an optimized crystal structure of HfCrSb2I, from Alexandria.

Calculated values
Its crystal system is tetragonal. Its space group is P4/mmm (123).

Geometry as POSCAR:
```
HfCrSb2I
1.0
5.558 0.000 0.000
0.000 5.558 0.000
0.000 0.000 5.515
Hf Cr Sb I
1 1 2 1
Direct
0.000 0.000 0.000
0.500 0.500 0.500
0.000 0.500 0.000
0.500 0.000 0.000
0.000 0.000 0.500
```

***

2.
The following is a GGA-PBE calculation of an optimized crystal structure of Sr3DyPa2As6, from Alexandria.

Calculated values
Its crystal system is monoclinic. For the formation energy, the calculation gives -1.24 eV per atom. Its space group is C2/m (12).

Geometry as POSCAR:
```
Sr3DyPa2As6
1.0
3.679 -6.372 0.000
3.679 6.372 0.000
-2.451 0.000 7.125
Sr Dy Pa As
3 1 2 6
Direct
0.000 0.000 0.000
0.335 0.665 0.000
0.665 0.335 0.000
0.500 0.500 0.500
0.167 0.833 0.500
0.833 0.167 0.500
0.086 0.427 0.282
0.232 0.232 0.718
0.427 0.086 0.282
0.573 0.914 0.718
0.768 0.768 0.282
0.914 0.573 0.718
```

***

3.
The following is a GGA-PBE calculation of an optimized crystal structure of Pm2W2N5, from Alexandria.

Calculated values
Its crystal system is orthorhombic. Its space group is Imma (74).

Geometry as POSCAR:
```
Pm2W2N5
1.0
-2.803 7.818 2.832
2.803 -7.818 2.832
2.803 7.818 -2.832
Pm W N
4 4 10
Direct
0.119 0.002 0.117
0.385 0.002 0.383
0.615 0.998 0.617
0.881 0.998 0.883
0.000 0.500 0.500
0.235 0.485 0.750
0.500 0.500 0.000
0.765 0.515 0.250
0.000 0.000 0.500
0.000 0.500 0.000
0.200 0.570 0.630
0.233 0.000 0.733
0.233 0.500 0.233
0.440 0.570 0.870
0.560 0.430 0.130
0.767 0.000 0.267
0.767 0.500 0.767
0.800 0.430 0.370
```

***

4.
The following is a GGA-PBE calculation of an optimized crystal structure of ThUPt6, from Alexandria.

Calculated values
Its crystal system is tetragonal. For the formation energy, the calculation gives -0.90 eV per atom. Its space group is P4/mmm (123).

Geometry as POSCAR:
```
ThUPt6
1.0
4.200 0.000 0.000
0.000 4.200 0.000
0.000 0.000 8.405
Th U Pt
1 1 6
Direct
0.000 0.000 0.000
0.000 0.000 0.500
0.000 0.500 0.253
0.000 0.500 0.747
0.500 0.000 0.253
0.500 0.000 0.747
0.500 0.500 0.000
0.500 0.500 0.500
```

***

5.
The following is a GGA-PBE calculation of an optimized crystal structure of NaIn2O4, from Alexandria.

Calculated values
Its crystal system is tetragonal. Its space group is I4_1/amd (141).

Geometry as POSCAR:
```
NaIn2O4
1.0
-3.323 3.323 4.693
3.323 -3.323 4.693
3.323 3.323 -4.693
Na In O
2 4 8
Direct
0.375 0.625 0.750
0.625 0.375 0.250
0.000 0.000 0.000
0.000 0.000 0.500
0.000 0.500 0.000
0.500 0.000 0.500
0.202 0.234 0.968
0.234 0.202 0.468
0.234 0.766 0.032
0.234 0.766 0.468
0.766 0.234 0.532
0.766 0.234 0.968
0.766 0.798 0.532
0.798 0.766 0.032
```

***

6.
The following is a GGA-PBE calculation of an optimized crystal structure of UP2Pb2O10, from Alexandria.

Calculated values
Its crystal system is triclinic. Its space group is P-1 (2).

Geometry as POSCAR:
```
UP2Pb2O10
1.0
6.721 0.000 0.000
1.027 6.903 0.000
2.218 0.330 10.424
U P Pb O
2 4 4 20
Direct
0.116 0.382 0.159
0.884 0.618 0.841
0.278 0.183 0.447
0.366 0.534 0.821
0.634 0.466 0.179
0.722 0.817 0.553
0.255 0.057 0.770
0.280 0.702 0.449
0.720 0.298 0.551
0.745 0.943 0.230
0.069 0.633 0.213
0.120 0.291 0.368
0.147 0.136 0.103
0.157 0.093 0.571
0.201 0.495 0.944
0.232 0.675 0.741
0.406 0.337 0.476
0.414 0.015 0.367
0.452 0.341 0.753
0.463 0.365 0.147
0.537 0.635 0.853
0.548 0.659 0.247
0.586 0.985 0.633
0.594 0.663 0.524
0.768 0.325 0.259
0.799 0.505 0.056
0.843 0.907 0.429
0.853 0.864 0.897
0.880 0.709 0.632
0.931 0.367 0.787
```

***

7.
The following is a GGA-PBE calculation of an optimized crystal structure of Li2AlMo, from Alexandria.

Calculated values
Its crystal system is tetragonal. For the formation energy, the calculation gives 0.18 eV per atom. Its space group is P4/mmm (123).

Geometry as POSCAR:
```
Li2AlMo
1.0
2.614 0.000 0.000
0.000 2.614 0.000
0.000 0.000 9.050
Li Al Mo
2 1 1
Direct
0.000 0.000 0.244
0.000 0.000 0.756
0.500 0.500 0.000
0.500 0.500 0.500
```

***

8.
The following is a GGA-PBE calculation of an optimized crystal structure of Ti2CuRh2, from Alexandria.

Calculated values
Its crystal system is tetragonal. For the formation energy, the calculation gives -0.36 eV per atom. Its space group is P4/mbm (127).

Geometry as POSCAR:
```
Ti2CuRh2
1.0
7.331 0.000 0.000
0.000 7.331 0.000
0.000 0.000 2.898
Ti Cu Rh
4 2 4
Direct
0.151 0.349 0.000
0.349 0.849 0.000
0.651 0.151 0.000
0.849 0.651 0.000
0.000 0.000 0.000
0.500 0.500 0.000
0.147 0.647 0.500
0.353 0.147 0.500
0.647 0.853 0.500
0.853 0.353 0.500
```

***

Listing VASP energy for the structures above in their given order: -4.725 -5.951 -9.473 -7.766 -5.139 -7.575 -4.417 -7.279 eV per atom.